1.
A plane-wave DFT calculation with GGA-PBE was carried out for a relaxed La2TaAg crystal.

Unit cell a=3.2764 b=3.2764 c=9.7749 alpha=90.00 beta=90.00 gamma=90.00
Fractional positions:
La 0.0000 0.0000 0.0000
La 0.5000 0.5000 0.3451
Ta 0.0000 0.0000 0.5813
Ag 0.5000 0.5000 0.7572

Values from the calculation:
magnetization = 0.00 μB per formula unit

2.
A plane-wave DFT calculation with GGA-PBE was carried out for a relaxed La2TaAg crystal.

Unit cell a=3.3286 b=3.3286 c=9.4274 alpha=90.00 beta=90.00 gamma=90.00
Fractional positions:
La 0.0000 0.0000 0.2455
La 0.0000 0.0000 0.7545
Ta 0.5000 0.5000 0.0000
Ag 0.5000 0.5000 0.5000

Values from the calculation:
magnetization = 0.00 μB per formula unit

In kJ/mol of atoms, relative to the most stable structure: 1 7.8; 2 0.0.